Record 1
A plane-wave DFT calculation with PBE-GGA was carried out for an optimized crystal structure of LiDyPaN3.

abc: 6.783 3.325 7.306
angles: 90.00 101.33 90.00
Space group P2_1/m (No. 11)
Inequivalent atoms, fractional coordinates:
Li: 0.090 0.250 0.083 (multiplicity 2)
Dy: 0.309 0.750 0.347 (multiplicity 2)
Pa: 0.287 0.750 0.817 (multiplicity 2)
N: 0.041 0.250 0.815 (multiplicity 2)
N: 0.337 0.250 0.593 (multiplicity 2)
N: 0.381 0.250 0.122 (multiplicity 2)

Properties
V = 13.47 A^3/atom
Formation energy from raw total energies = -1270 meV per atom
Total moment = 0.0 μB/f.u.

Record 2
A plane-wave DFT calculation with PBE-GGA was carried out for an optimized crystal structure of YHfAl.

abc: 3.284 3.284 12.847
angles: 90.00 90.00 90.00
Space group I4mm (No. 107)
Inequivalent atoms, fractional coordinates:
Y: 0.000 0.000 0.000 (multiplicity 2)
Hf: 0.000 0.000 0.313 (multiplicity 2)
Al: 0.000 0.000 0.669 (multiplicity 2)

Properties
V = 23.09 A^3/atom
Total moment = 0.0 μB/f.u.
DFT total energy = -6.90 eV/atom

Record 3
A plane-wave DFT calculation with PBE-GGA was carried out for an optimized crystal structure of Pm3VGe4.

abc: 11.480 5.849 5.819
angles: 90.00 90.00 90.00
Space group Pmn2_1 (No. 31)
Inequivalent atoms, fractional coordinates:
Pm: 0.000 0.239 0.000 (multiplicity 2)
Pm: 0.250 0.256 0.499 (multiplicity 4)
V: 0.000 0.724 0.484 (multiplicity 2)
Ge: 0.000 0.285 0.500 (multiplicity 2)
Ge: 0.000 0.736 0.034 (multiplicity 2)
Ge: 0.223 0.758 0.500 (multiplicity 4)

Properties
V = 24.42 A^3/atom
Total moment = 0.0 μB/f.u.
DFT total energy = -5.61 eV/atom

Record 4
A plane-wave DFT calculation with PBE-GGA was carried out for an optimized crystal structure of AgRu2F11.

abc: 9.121 9.251 10.535
angles: 90.00 90.00 90.00
Space group Ibam (No. 72)
Inequivalent atoms, fractional coordinates:
Ag: 0.000 0.000 0.250 (multiplicity 4)
Ru: 0.160 0.344 0.000 (multiplicity 8)
F: 0.000 0.500 0.000 (multiplicity 4)
F: 0.056 0.243 0.128 (multiplicity 16)
F: 0.198 0.296 0.500 (multiplicity 8)
F: 0.237 0.051 0.373 (multiplicity 16)

Properties
V = 15.87 A^3/atom
Formation energy from raw total energies = -1612 meV per atom
Total moment = 5.9 μB/f.u.

Record 5
A plane-wave DFT calculation with PBE-GGA was carried out for an optimized crystal structure of Li7CaZn2.

abc: 9.649 13.124 3.536
angles: 90.00 90.00 90.00
Space group Cmmm (No. 65)
Inequivalent atoms, fractional coordinates:
Li: 0.000 0.000 0.000 (multiplicity 2)
Li: 0.000 0.165 0.500 (multiplicity 4)
Li: 0.237 0.140 0.000 (multiplicity 8)
Ca: 0.000 0.500 0.500 (multiplicity 2)
Zn: 0.000 0.303 0.000 (multiplicity 4)

Properties
V = 22.39 A^3/atom
Total moment = 0.0 μB/f.u.
DFT total energy = -1.74 eV/atom

Record 6
A plane-wave DFT calculation with PBE-GGA was carried out for an optimized crystal structure of Er4SiSn.

abc: 15.739 5.785 7.630
angles: 90.00 105.72 90.00
Space group C2/c (No. 15)
Inequivalent atoms, fractional coordinates:
Er: 0.076 0.128 0.445 (multiplicity 8)
Er: 0.168 0.379 0.136 (multiplicity 8)
Si: 0.250 0.250 0.500 (multiplicity 4)
Sn: 0.000 0.366 0.750 (multiplicity 4)

Properties
V = 27.86 A^3/atom
Formation energy from raw total energies = -337 meV per atom
Total moment = 0.0 μB/f.u.

Record 7
A plane-wave DFT calculation with PBE-GGA was carried out for an optimized crystal structure of Cs4HgAu.

abc: 11.995 17.343 8.655
angles: 90.00 124.08 90.00
Space group C2/c (No. 15)
Inequivalent atoms, fractional coordinates:
Cs: 0.116 0.172 0.089 (multiplicity 8)
Cs: 0.210 0.440 0.276 (multiplicity 8)
Hg: 0.000 0.363 0.750 (multiplicity 4)
Au: 0.000 0.001 0.250 (multiplicity 4)

Properties
V = 62.13 A^3/atom
Total moment = 0.0 μB/f.u.
DFT total energy = -1.36 eV/atom

Record 8
A plane-wave DFT calculation with PBE-GGA was carried out for an optimized crystal structure of AlCrPb3.

abc: 5.244 5.244 5.244
angles: 90.00 90.00 90.00
Space group Pm-3m (No. 221)
Inequivalent atoms, fractional coordinates:
Al: 0.000 0.000 0.000 (multiplicity 1)
Cr: 0.500 0.500 0.500 (multiplicity 1)
Pb: 0.000 0.500 0.500 (multiplicity 3)

Properties
V = 28.84 A^3/atom
Total moment = 2.0 μB/f.u.
DFT total energy = -4.34 eV/atom

Record 9
A plane-wave DFT calculation with PBE-GGA was carried out for an optimized crystal structure of InAg2I.

abc: 7.944 7.944 6.812
angles: 90.00 90.00 90.00
Space group I-42d (No. 122)
Inequivalent atoms, fractional coordinates:
In: 0.000 0.000 0.000 (multiplicity 4)
Ag: 0.239 0.750 0.125 (multiplicity 8)
I: 0.000 0.000 0.500 (multiplicity 4)

Properties
V = 26.87 A^3/atom
Formation energy from raw total energies = 125 meV per atom
Total moment = 0.0 μB/f.u.

Record 10
A plane-wave DFT calculation with PBE-GGA was carried out for an optimized crystal structure of LiInCo2.

abc: 5.101 8.608 2.713
angles: 90.00 109.90 90.00
Space group C2/m (No. 12)
Inequivalent atoms, fractional coordinates:
Li: 0.000 0.000 0.000 (multiplicity 2)
In: 0.000 0.500 0.000 (multiplicity 2)
Co: 0.250 0.250 0.500 (multiplicity 4)

Properties
V = 14.00 A^3/atom
Total moment = 2.8 μB/f.u.
DFT total energy = -4.47 eV/atom

Record 11
A plane-wave DFT calculation with PBE-GGA was carried out for an optimized crystal structure of ZnHgAs2.

abc: 2.913 2.913 10.068
angles: 90.00 90.00 90.00
Space group P4/mmm (No. 123)
Inequivalent atoms, fractional coordinates:
Zn: 0.000 0.000 0.000 (multiplicity 1)
Hg: 0.000 0.000 0.500 (multiplicity 1)
As: 0.500 0.500 0.195 (multiplicity 2)

Properties
V = 21.36 A^3/atom
Total moment = 0.0 μB/f.u.
DFT total energy = -2.47 eV/atom

Record 12
A plane-wave DFT calculation with PBE-GGA was carried out for an optimized crystal structure of SrEu2N.

abc: 3.355 3.355 9.975
angles: 90.00 90.00 90.00
Space group P4/mmm (No. 123)
Inequivalent atoms, fractional coordinates:
Sr: 0.000 0.000 0.000 (multiplicity 1)
Eu: 0.500 0.500 0.361 (multiplicity 2)
N: 0.000 0.000 0.500 (multiplicity 1)

Properties
V = 28.07 A^3/atom
Formation energy from raw total energies = -122 meV per atom
Total moment = 14.0 μB/f.u.

Record 13
A plane-wave DFT calculation with PBE-GGA was carried out for an optimized crystal structure of RbCo2Br2.

abc: 3.986 3.986 14.122
angles: 90.00 90.00 90.00
Space group I4/mmm (No. 139)
Inequivalent atoms, fractional coordinates:
Rb: 0.000 0.000 0.000 (multiplicity 2)
Co: 0.000 0.500 0.250 (multiplicity 4)
Br: 0.000 0.000 0.352 (multiplicity 4)

Properties
V = 22.44 A^3/atom
Formation energy from raw total energies = 16 meV per atom
Total moment = 3.1 μB/f.u.

Record 14
A plane-wave DFT calculation with PBE-GGA was carried out for an optimized crystal structure of Ac2HoHg.

abc: 3.965 3.965 9.152
angles: 90.00 90.00 90.00
Space group P4/mmm (No. 123)
Inequivalent atoms, fractional coordinates:
Ac: 0.000 0.000 0.227 (multiplicity 2)
Ho: 0.500 0.500 0.500 (multiplicity 1)
Hg: 0.500 0.500 0.000 (multiplicity 1)

Properties
V = 35.97 A^3/atom
Total moment = 0.0 μB/f.u.
DFT total energy = -3.46 eV/atom

Record 15
A plane-wave DFT calculation with PBE-GGA was carried out for an optimized crystal structure of Na4Ho3InSe8.

abc: 8.2102 8.2102 21.1044
angles: 90.00 90.00 120.00
Space group R-3m (No. 166, hexagonal axes)
Inequivalent atoms, fractional coordinates:
Na: 0.0000 0.0000 0.0000 (multiplicity 3)
Na: 0.0000 0.5000 0.0000 (multiplicity 9)
Ho: 0.0000 0.5000 0.5000 (multiplicity 9)
In: 0.0000 0.0000 0.5000 (multiplicity 3)
Se: 0.0000 0.0000 0.2426 (multiplicity 6)
Se: 0.0045 0.5022 0.2425 (multiplicity 18)

Properties
V = 25.67 A^3/atom
Formation energy from raw total energies = -1464 meV per atom
Total moment = 0.0 μB/f.u.

Record 16
A plane-wave DFT calculation with PBE-GGA was carried out for an optimized crystal structure of NaPr2Y3Se6.

abc: 18.271 4.137 8.411
angles: 90.00 103.98 90.00
Space group C2/m (No. 12)
Inequivalent atoms, fractional coordinates:
Na: 0.000 0.000 0.000 (multiplicity 2)
Pr: 0.171 0.500 0.343 (multiplicity 4)
Y: 0.000 0.000 0.500 (multiplicity 2)
Y: 0.166 0.500 0.828 (multiplicity 4)
Se: 0.002 0.500 0.745 (multiplicity 4)
Se: 0.161 0.000 0.593 (multiplicity 4)
Se: 0.168 0.000 0.073 (multiplicity 4)

Properties
V = 25.71 A^3/atom
Formation energy from raw total energies = -1786 meV per atom
Total moment = 0.0 μB/f.u.

Record 17
A plane-wave DFT calculation with PBE-GGA was carried out for an optimized crystal structure of SmBeAsO.

abc: 3.9080 3.9080 10.1561
angles: 90.00 90.00 120.00
Space group P6_3mc (No. 186)
Inequivalent atoms, fractional coordinates:
Sm: 0.3333 0.6667 0.0000 (multiplicity 2)
Be: 0.0000 0.0000 0.2236 (multiplicity 2)
As: 0.3333 0.6667 0.2982 (multiplicity 2)
O: 0.0000 0.0000 0.0670 (multiplicity 2)

Properties
V = 16.79 A^3/atom
Formation energy from raw total energies = -1896 meV per atom
Total moment = 0.0 μB/f.u.

Record 18
A plane-wave DFT calculation with PBE-GGA was carried out for an optimized crystal structure of K16Na12Hg.

abc: 14.676 20.153 12.708
angles: 90.00 124.02 90.00
Space group Cm (No. 8)
Inequivalent atoms, fractional coordinates:
K: 0.000 0.000 0.000 (multiplicity 2)
K: 0.014 0.000 0.360 (multiplicity 2)
K: 0.063 0.355 0.410 (multiplicity 4)
K: 0.096 0.500 0.685 (multiplicity 2)
K: 0.160 0.158 0.595 (multiplicity 4)
K: 0.189 0.177 0.003 (multiplicity 4)
K: 0.209 0.500 0.307 (multiplicity 2)
K: 0.301 0.294 0.325 (multiplicity 4)
K: 0.457 0.111 0.975 (multiplicity 4)
K: 0.483 0.197 0.694 (multiplicity 4)
Na: 0.009 0.190 0.182 (multiplicity 4)
Na: 0.172 0.000 0.792 (multiplicity 2)
Na: 0.255 0.407 0.031 (multiplicity 4)
Na: 0.274 0.087 0.381 (multiplicity 4)
Na: 0.323 0.317 0.834 (multiplicity 4)
Na: 0.349 0.000 0.172 (multiplicity 2)
Na: 0.408 0.408 0.654 (multiplicity 4)
Hg: 0.317 0.000 0.643 (multiplicity 2)

Properties
V = 53.71 A^3/atom
Total moment = 0.0 μB/f.u.
DFT total energy = -1.16 eV/atom

Record 19
A plane-wave DFT calculation with PBE-GGA was carried out for an optimized crystal structure of Pr6Y2HoTm3.

abc: 6.294 10.898 11.838
angles: 90.00 100.19 90.00
Space group C2/m (No. 12)
Inequivalent atoms, fractional coordinates:
Pr: 0.248 0.000 0.248 (multiplicity 4)
Pr: 0.250 0.166 0.752 (multiplicity 8)
Y: 0.000 0.333 0.500 (multiplicity 4)
Ho: 0.000 0.000 0.500 (multiplicity 2)
Tm: 0.000 0.167 0.000 (multiplicity 4)
Tm: 0.000 0.500 0.000 (multiplicity 2)

Properties
V = 33.30 A^3/atom
Total moment = 0.0 μB/f.u.
DFT total energy = -4.95 eV/atom

Record 20
A plane-wave DFT calculation with PBE-GGA was carried out for an optimized crystal structure of InGaTe2.

abc: 5.3258 5.3258 23.9101
angles: 90.00 90.00 120.00
Space group R-3m (No. 166, hexagonal axes)
Inequivalent atoms, fractional coordinates:
In: 0.0000 0.0000 0.0000 (multiplicity 3)
Ga: 0.0000 0.0000 0.5000 (multiplicity 3)
Te: 0.0000 0.0000 0.3984 (multiplicity 6)

Properties
V = 48.94 A^3/atom
Formation energy from raw total energies = 44 meV per atom
Total moment = 0.0 μB/f.u.